DFT (PBE-GGA) results for MgSb3Os after structural relaxation.

* density of states at the Fermi level: 4.7 states/eV per cell
* energy relative to the elements, uncorrected: 589 meV/atom
* calculated volume: 141 Å³ per cell

Cell: 5.210 5.210 5.210 Å, 90.00 90.00 90.00°
Atoms (fractional coordinates):
Mg (0.000, 0.000, 0.000)
Sb (0.000, 0.500, 0.500)
Sb (0.500, 0.000, 0.500)
Sb (0.500, 0.500, 0.000)
Os (0.500, 0.500, 0.500)

=====

DFT (PBE-GGA) results for ZrSc2Hg after structural relaxation.

* density of states at the Fermi level: 6.1 states/eV per cell
* formation enthalpy at 0 K: -0.52 eV/f.u.
* calculated volume: 89 Å³ per cell

Cell: 5.618 5.618 5.618 Å, 134.48 134.48 66.34°
Atoms (fractional coordinates):
Zr (0.000, 0.000, 0.000)
Sc (0.500, 0.500, 0.000)
Sc (0.750, 0.250, 0.500)
Hg (0.250, 0.750, 0.500)

=====

DFT (PBE-GGA) results for MnGa2Tc after structural relaxation.

* density of states at the Fermi level: 4.6 states/eV per cell
* formation enthalpy at 0 K: 0.06 eV/f.u.
* calculated volume: 59 Å³ per cell

Cell: 8.527 8.527 8.527 Å, 19.22 19.22 19.22°
Atoms (fractional coordinates):
Mn (0.000, 0.000, 0.000)
Ga (0.250, 0.250, 0.250)
Ga (0.750, 0.750, 0.750)
Tc (0.500, 0.500, 0.500)

=====

Copy entry 3 word for word.
DFT (PBE-GGA) results for MnGa2Tc after structural relaxation.

* density of states at the Fermi level: 4.6 states/eV per cell
* formation enthalpy at 0 K: 0.06 eV/f.u.
* calculated volume: 59 Å³ per cell

Cell: 8.527 8.527 8.527 Å, 19.22 19.22 19.22°
Atoms (fractional coordinates):
Mn (0.000, 0.000, 0.000)
Ga (0.250, 0.250, 0.250)
Ga (0.750, 0.750, 0.750)
Tc (0.500, 0.500, 0.500)

=====

- Among the records above, which one has the highest density of states at the Fermi level?
  ZrSc2Hg